w:
The following is a GGA-PBE calculation of a relaxed structure of BaHf3Sn, from Alexandria.

Computed properties:
Total moment = 0.0 μB/f.u.
Crystal system = cubic
DOS(E_F) = 9.676 states/eV per cell
Space-group type = Pm-3m (221)

Cell lengths 5.283, 5.283, 5.283 Å; angles 90.00, 90.00, 90.00 degrees
Sites, in units of the cell vectors:
Hf: 0.000 0.500 0.000
Hf: 0.000 0.000 0.500
Hf: 0.500 0.000 0.000
Ba: 0.000 0.000 0.000
Sn: 0.500 0.500 0.500



x:
The following is a GGA-PBE calculation of a relaxed structure of BaHf3Sn, from Alexandria.

Computed properties:
Total moment = 0.0 μB/f.u.
Crystal system = cubic
DOS(E_F) = 11.385 states/eV per cell
Space-group type = Pm-3m (221)

Cell lengths 5.456, 5.456, 5.456 Å; angles 90.00, 90.00, 90.00 degrees
Sites, in units of the cell vectors:
Hf: 0.000 0.500 0.000
Hf: 0.000 0.000 0.500
Hf: 0.500 0.000 0.000
Ba: 0.500 0.500 0.500
Sn: 0.000 0.000 0.000



The structure with the greatest stability is x.



w:
The following is a GGA-PBE calculation of a relaxed structure of BaHfSn3, from Alexandria.

Computed properties:
Total moment = 0.0 μB/f.u.
Crystal system = cubic
DOS(E_F) = 2.587 states/eV per cell
Space-group type = Pm-3m (221)

Cell lengths 5.563, 5.563, 5.563 Å; angles 90.00, 90.00, 90.00 degrees
Sites, in units of the cell vectors:
Hf: 0.000 0.000 0.000
Ba: 0.500 0.500 0.500
Sn: 0.000 0.500 0.000
Sn: 0.000 0.000 0.500
Sn: 0.500 0.000 0.000



x:
The following is a GGA-PBE calculation of a relaxed structure of BaHfSn3, from Alexandria.

Computed properties:
Total moment = 0.0 μB/f.u.
Crystal system = cubic
DOS(E_F) = 3.290 states/eV per cell
Space-group type = Pm-3m (221)

Cell lengths 5.879, 5.879, 5.879 Å; angles 90.00, 90.00, 90.00 degrees
Sites, in units of the cell vectors:
Hf: 0.500 0.500 0.500
Ba: 0.000 0.000 0.000
Sn: 0.000 0.500 0.000
Sn: 0.000 0.000 0.500
Sn: 0.500 0.000 0.000



The structure with the greatest stability is w.



w:
The following is a GGA-PBE calculation of a relaxed structure of BaHfSn2, from Alexandria.

Computed properties:
Total moment = 0.0 μB/f.u.
Crystal system = trigonal
DOS(E_F) = 1.705 states/eV per cell
Space-group type = R-3m (166)

Cell lengths 4.785, 4.785, 7.209 Å; angles 70.62, 70.62, 60.00 degrees
Sites, in units of the cell vectors:
Hf: 0.000 0.000 0.000
Ba: 0.500 0.500 0.500
Sn: 0.279 0.279 0.164
Sn: 0.721 0.721 0.836



x:
The following is a GGA-PBE calculation of a relaxed structure of BaHfSn2, from Alexandria.

Computed properties:
Total moment = 0.5 μB/f.u.
Crystal system = tetragonal
DOS(E_F) = 4.980 states/eV per cell
Space-group type = I-42d (122)

Cell lengths 5.883, 5.883, 10.268 Å; angles 73.36, 73.36, 90.00 degrees
Sites, in units of the cell vectors:
Hf: 0.000 0.000 0.000
Hf: 0.750 0.250 0.500
Ba: 0.500 0.500 0.000
Ba: 0.250 0.750 0.500
Sn: 0.791 0.125 0.250
Sn: 0.959 0.625 0.250
Sn: 0.375 0.209 0.750
Sn: 0.875 0.041 0.750



y:
The following is a GGA-PBE calculation of a relaxed structure of BaHfSn2, from Alexandria.

Computed properties:
Total moment = 0.0 μB/f.u.
Crystal system = cubic
DOS(E_F) = 7.829 states/eV per cell
Space-group type = Fm-3m (225)

Cell lengths 5.466, 5.466, 5.466 Å; angles 60.00, 60.00, 60.00 degrees
Sites, in units of the cell vectors:
Hf: 0.500 0.500 0.500
Ba: 0.000 0.000 0.000
Sn: 0.250 0.250 0.250
Sn: 0.750 0.750 0.750



The structure with the greatest stability is w.



w:
The following is a GGA-PBE calculation of a relaxed structure of Ba3SrHf, from Alexandria.

Computed properties:
Total moment = 0.5 μB/f.u.
Crystal system = cubic
DOS(E_F) = 7.174 states/eV per cell
Space-group type = Pm-3m (221)

Cell lengths 6.524, 6.524, 6.524 Å; angles 90.00, 90.00, 90.00 degrees
Sites, in units of the cell vectors:
Sr: 0.500 0.500 0.500
Hf: 0.000 0.000 0.000
Ba: 0.000 0.500 0.000
Ba: 0.000 0.000 0.500
Ba: 0.500 0.000 0.000



x:
The following is a GGA-PBE calculation of a relaxed structure of Ba3SrHf, from Alexandria.

Computed properties:
Total moment = 0.0 μB/f.u.
Crystal system = cubic
DOS(E_F) = 8.332 states/eV per cell
Space-group type = Pm-3m (221)

Cell lengths 6.404, 6.404, 6.404 Å; angles 90.00, 90.00, 90.00 degrees
Sites, in units of the cell vectors:
Sr: 0.000 0.000 0.000
Hf: 0.500 0.500 0.500
Ba: 0.000 0.500 0.000
Ba: 0.000 0.000 0.500
Ba: 0.500 0.000 0.000



The structure with the greatest stability is w.